No. 1
Here is an optimized crystal structure of Na12Cd2Sn from the Alexandria database. Energies are from GGA-PBE.

Its formation energy is 0.08 eV per atom. As for the total magnetic moment: 0.00 Bohr magnetons per cell. The calculation puts the total energy at -20.414 eV/f.u.

The structure belongs to space group P4/nbm (No. 125, origin choice 2); the cell edges are 6.800, 6.800 and 24.191 Å and the angles 90.00°, 90.00° and 90.00°. The distinct sites, in fractional coordinates, are Na at (0.000, 0.000, 0.084), Na at (0.071, 0.571, 0.434), Na at (0.250, 0.250, 0.193), Na at (0.250, 0.250, 0.325), Cd at (0.250, 0.750, 0.191) and Sn at (0.250, 0.750, 0.000).

No. 2
Here is an optimized crystal structure of Na3Cd2Sn3 from the Alexandria database. Energies are from GGA-PBE.

Its formation energy is -0.13 eV per atom. As for the total magnetic moment: 0.00 Bohr magnetons per cell. The calculation puts the total energy at -18.847 eV/f.u.

The structure belongs to space group Cmcm (No. 63); the cell edges are 4.667, 10.268 and 17.972 Å and the angles 90.00°, 90.00° and 90.00°. The distinct sites, in fractional coordinates, are Na at (0.000, 0.014, 0.250), Na at (0.000, 0.144, 0.032), Cd at (0.000, 0.275, 0.652), Sn at (0.000, 0.308, 0.250) and Sn at (0.000, 0.443, 0.102).

No. 3
Here is an optimized crystal structure of NaCd2Sn from the Alexandria database. Energies are from GGA-PBE.

Its formation energy is -0.08 eV per atom. As for the total magnetic moment: 0.00 Bohr magnetons per cell. The calculation puts the total energy at -7.481 eV/f.u.

The structure belongs to space group P4/mmm (No. 123); the cell edges are 4.629, 4.629 and 4.515 Å and the angles 90.00°, 90.00° and 90.00°. The distinct sites, in fractional coordinates, are Na at (0.000, 0.000, 0.000), Cd at (0.000, 0.500, 0.500) and Sn at (0.500, 0.500, 0.000).

No. 4
Here is an optimized crystal structure of NaCd2Sn4 from the Alexandria database. Energies are from GGA-PBE.

Its formation energy is 0.03 eV per atom. As for the total magnetic moment: 0.00 Bohr magnetons per cell. The calculation puts the total energy at -18.944 eV/f.u.

The structure belongs to space group Cmmm (No. 65); the cell edges are 4.987, 16.833 and 4.938 Å and the angles 90.00°, 90.00° and 90.00°. The distinct sites, in fractional coordinates, are Na at (0.000, 0.000, 0.000), Cd at (0.000, 0.418, 0.500), Sn at (0.000, 0.185, 0.500) and Sn at (0.000, 0.308, 0.000).

No. 5
Here is an optimized crystal structure of Na2CdSn from the Alexandria database. Energies are from GGA-PBE.

Its formation energy is -0.18 eV per atom. As for the total magnetic moment: 0.00 Bohr magnetons per cell. The calculation puts the total energy at -8.290 eV/f.u.

The structure belongs to space group Cmcm (No. 63); the cell edges are 9.624, 7.968 and 5.985 Å and the angles 90.00°, 90.00° and 90.00°. The distinct sites, in fractional coordinates, are Na at (0.181, 0.154, 0.250), Cd at (0.000, 0.500, 0.000) and Sn at (0.000, 0.194, 0.750).

No. 6
Here is an optimized crystal structure of NaCd4Sn from the Alexandria database. Energies are from GGA-PBE.

Its formation energy is 0.05 eV per atom. Its energy above the lowest structure with this stoichiometry is 0.63 eV per formula unit. As for the total magnetic moment: 0.00 Bohr magnetons per cell. The calculation puts the total energy at -8.678 eV/f.u.

The structure belongs to space group Cmcm (No. 63); the cell edges are 5.071, 16.147 and 8.145 Å and the angles 90.00°, 90.00° and 90.00°. The distinct sites, in fractional coordinates, are Na at (0.000, 0.131, 0.250), Cd at (0.000, 0.055, 0.750), Cd at (0.000, 0.271, 0.580), Cd at (0.000, 0.500, 0.000) and Sn at (0.000, 0.347, 0.250).

No. 7
Here is an optimized crystal structure of Na6Cd23Sn from the Alexandria database. Energies are from GGA-PBE.

Its formation energy is -0.07 eV per atom. As for the total magnetic moment: 0.00 Bohr magnetons per cell. The calculation puts the total energy at -34.937 eV/f.u.

The structure belongs to space group Fm-3m (No. 225); the cell edges are 14.185, 14.185 and 14.185 Å and the angles 90.00°, 90.00° and 90.00°. The distinct sites, in fractional coordinates, are Na at (0.000, 0.000, 0.238), Cd at (0.000, 0.000, 0.500), Cd at (0.000, 0.250, 0.250), Cd at (0.128, 0.128, 0.372), Cd at (0.142, 0.142, 0.142) and Sn at (0.000, 0.000, 0.000).

No. 8
Here is an optimized crystal structure of Na2CdSn from the Alexandria database. Energies are from GGA-PBE.

Its formation energy is -0.05 eV per atom. As for the total magnetic moment: 0.00 Bohr magnetons per cell. The calculation puts the total energy at -7.764 eV/f.u.

The structure belongs to space group R3m (No. 160, hexagonal axes); the cell edges are 3.4199, 3.4199 and 32.1339 Å and the angles 90.00°, 90.00° and 120.00°. The distinct sites, in fractional coordinates, are Na at (0.0000, 0.0000, 0.0000), Na at (0.0000, 0.0000, 0.1661), Cd at (0.0000, 0.0000, 0.5830) and Sn at (0.0000, 0.0000, 0.4164).

No. 9
Here is an optimized crystal structure of Na15Cd4Sn from the Alexandria database. Energies are from GGA-PBE.

Its formation energy is -0.05 eV per atom. As for the total magnetic moment: 0.00 Bohr magnetons per cell. The calculation puts the total energy at -28.387 eV/f.u.

The structure belongs to space group P4/mmm (No. 123); the cell edges are 4.901, 4.901 and 24.861 Å and the angles 90.00°, 90.00° and 90.00°. The distinct sites, in fractional coordinates, are Na at (0.000, 0.000, 0.000), Na at (0.000, 0.000, 0.199), Na at (0.000, 0.000, 0.399), Na at (0.000, 0.500, 0.096), Na at (0.000, 0.500, 0.300), Na at (0.000, 0.500, 0.500), Cd at (0.500, 0.500, 0.197), Cd at (0.500, 0.500, 0.400) and Sn at (0.500, 0.500, 0.000).

No. 10
Here is an optimized crystal structure of Na6Cd2Sn from the Alexandria database. Energies are from GGA-PBE.

Its formation energy is -0.07 eV per atom. As for the total magnetic moment: 0.00 Bohr magnetons per cell. The calculation puts the total energy at -14.414 eV/f.u.

The structure belongs to space group R-3m (No. 166, hexagonal axes); the cell edges are 9.3992, 9.3992 and 9.5384 Å and the angles 90.00°, 90.00° and 120.00°. The distinct sites, in fractional coordinates, are Na at (0.0000, 0.3354, 0.0000), Cd at (0.0000, 0.0000, 0.1612) and Sn at (0.0000, 0.0000, 0.5000).

What is the formula in the tenth record?
Na6Cd2Sn